# Hf2TlSe

Hf2TlSe after structural relaxation (GGA-PBE, the Alexandria database).

POSCAR file:
```
Hf2TlSe
1.0
3.340 0.000 0.000
-1.670 2.893 0.000
0.000 0.000 29.479
Hf Tl Se
6 3 3
Cartesian
0.000 0.000 2.952
0.000 0.000 26.527
0.000 1.929 16.701
0.000 1.929 22.604
1.670 0.964 6.875
1.670 0.964 12.778
0.000 0.000 0.000
0.000 1.929 19.652
1.670 0.964 9.826
0.000 0.000 14.739
0.000 1.929 4.913
1.670 0.964 24.566
```

Properties
Energy: -6.579 eV per atom
E above lowest polymorph: 241 meV/atom
E_form (uncorrected): -0.139 eV/atom
DOS at the Fermi energy: 8.94 states/eV per cell